1.
Below is Li2TaSi at its PBEsol-relaxed geometry, with properties calculated at the meta-GGA SCAN level.

Values from the calculation:
**E_form (uncorrected)**: -0.009 eV per atom
**Calculated volume**: 14.64 A^3/atom
**Density of states at the Fermi level**: 0.382 states/eV/atom
**Crystal system**: tetragonal

Geometry as CIF:
```
data_Li2TaSi
_cell_length_a 3.621
_cell_length_b 3.621
_cell_length_c 4.466
_cell_angle_alpha 90.00
_cell_angle_beta 90.00
_cell_angle_gamma 90.00
_symmetry_space_group_name_H-M 'P 4/m m m'
_symmetry_Int_Tables_number 123
_symmetry_space_group_name_Hall '-P 4 2'
loop_
_atom_site_label
_atom_site_type_symbol
_atom_site_fract_x
_atom_site_fract_y
_atom_site_fract_z
Li1 Li 0.000 0.500 0.000
Ta1 Ta 0.000 0.000 0.500
Si1 Si 0.500 0.500 0.500
```

=====

2.
Below is Cd3Hg2 at its PBEsol-relaxed geometry, with properties calculated at the meta-GGA SCAN level.

Values from the calculation:
**Calculated volume**: 23.20 A^3/atom
**Formation energy**: 0.0127 eV per atom
**Density of states at the Fermi level**: 0.269 states/eV/atom
**Crystal system**: trigonal
**Energy above the most stable polymorph in this dataset**: 0.009 eV per atom

Geometry as CIF:
```
data_Cd3Hg2
_cell_length_a 4.7565
_cell_length_b 4.7565
_cell_length_c 5.9197
_cell_angle_alpha 90.00
_cell_angle_beta 90.00
_cell_angle_gamma 120.00
_symmetry_space_group_name_H-M 'P -3 m 1'
_symmetry_Int_Tables_number 164
_symmetry_space_group_name_Hall '-P 3 2"'
loop_
_atom_site_label
_atom_site_type_symbol
_atom_site_fract_x
_atom_site_fract_y
_atom_site_fract_z
Cd1 Cd 0.0000 0.0000 0.0000
Cd2 Cd 0.3333 0.6667 0.3387
Hg1 Hg 0.3333 0.6667 0.8179
```

=====

3.
Below is BeCr2Fe at its PBEsol-relaxed geometry, with properties calculated at the meta-GGA SCAN level.

Values from the calculation:
**Calculated volume**: 10.26 A^3/atom
**Formation energy**: 0.2987 eV per atom
**Density of states at the Fermi level**: 0.616 states/eV/atom
**Crystal system**: trigonal

Geometry as CIF:
```
data_BeCr2Fe
_cell_length_a 2.4480
_cell_length_b 2.4480
_cell_length_c 23.7343
_cell_angle_alpha 90.00
_cell_angle_beta 90.00
_cell_angle_gamma 120.00
_symmetry_space_group_name_H-M 'R 3 m'
_symmetry_Int_Tables_number 160
_symmetry_space_group_name_Hall 'R 3 -2"'
loop_
_atom_site_label
_atom_site_type_symbol
_atom_site_fract_x
_atom_site_fract_y
_atom_site_fract_z
Be1 Be 0.0000 0.0000 0.0000
Cr1 Cr 0.0000 0.0000 0.2495
Cr2 Cr 0.0000 0.0000 0.4916
Fe1 Fe 0.0000 0.0000 0.7444
```

=====

4.
Below is Ta2RuAu at its PBEsol-relaxed geometry, with properties calculated at the meta-GGA SCAN level.

Values from the calculation:
**Calculated volume**: 16.35 A^3/atom
**Formation energy**: -0.2256 eV per atom
**Density of states at the Fermi level**: 0.645 states/eV/atom
**Crystal system**: tetragonal
**Energy above the most stable polymorph in this dataset**: 0.076 eV per atom

Geometry as CIF:
```
data_Ta2RuAu
_cell_length_a 3.275
_cell_length_b 3.275
_cell_length_c 6.099
_cell_angle_alpha 90.00
_cell_angle_beta 90.00
_cell_angle_gamma 90.00
_symmetry_space_group_name_H-M 'P 4 m m'
_symmetry_Int_Tables_number 99
loop_
_symmetry_equiv_pos_as_xyz
'x,y,z'
'-y,x,z'
'-x,-y,z'
'y,-x,z'
'-x,y,z'
'y,x,z'
'x,-y,z'
'-y,-x,z'
loop_
_atom_site_label
_atom_site_type_symbol
_atom_site_fract_x
_atom_site_fract_y
_atom_site_fract_z
Ta1 Ta 0.000 0.000 0.000
Ta2 Ta 0.500 0.500 0.280
Ru1 Ru 0.500 0.500 0.790
Au1 Au 0.000 0.000 0.521
```

=====

5.
Below is Al4SiCl at its PBEsol-relaxed geometry, with properties calculated at the meta-GGA SCAN level.

Values from the calculation:
**E_form (uncorrected)**: 0.396 eV per atom
**Calculated volume**: 18.43 A^3/atom
**Density of states at the Fermi level**: 0.376 states/eV/atom
**Crystal system**: cubic

Geometry as CIF:
```
data_Al4SiCl
_cell_length_a 7.620
_cell_length_b 7.620
_cell_length_c 7.620
_cell_angle_alpha 90.00
_cell_angle_beta 90.00
_cell_angle_gamma 90.00
_symmetry_space_group_name_H-M 'F -4 3 m'
_symmetry_Int_Tables_number 216
_symmetry_space_group_name_Hall 'F -4 2 3'
loop_
_atom_site_label
_atom_site_type_symbol
_atom_site_fract_x
_atom_site_fract_y
_atom_site_fract_z
Al1 Al 0.125 0.125 0.125
Si1 Si 0.250 0.250 0.750
Cl1 Cl 0.000 0.000 0.500
```

=====

6.
Below is YTlRh2 at its PBEsol-relaxed geometry, with properties calculated at the meta-GGA SCAN level.

Values from the calculation:
**Calculated volume**: 17.71 A^3/atom
**Formation energy**: -0.6165 eV per atom
**Density of states at the Fermi level**: 0.177 states/eV/atom
**Crystal system**: tetragonal

Geometry as CIF:
```
data_YTlRh2
_cell_length_a 4.427
_cell_length_b 4.427
_cell_length_c 3.616
_cell_angle_alpha 90.00
_cell_angle_beta 90.00
_cell_angle_gamma 90.00
_symmetry_space_group_name_H-M 'P 4/m m m'
_symmetry_Int_Tables_number 123
_symmetry_space_group_name_Hall '-P 4 2'
loop_
_atom_site_label
_atom_site_type_symbol
_atom_site_fract_x
_atom_site_fract_y
_atom_site_fract_z
Y1 Y 0.000 0.000 0.000
Tl1 Tl 0.500 0.500 0.000
Rh1 Rh 0.000 0.500 0.500
```

=====

7.
Below is MgTc2Ag at its PBEsol-relaxed geometry, with properties calculated at the meta-GGA SCAN level.

Values from the calculation:
**Calculated volume**: 15.23 A^3/atom
**Formation energy**: 0.3302 eV per atom
**Density of states at the Fermi level**: 0.790 states/eV/atom
**Crystal system**: tetragonal

Geometry as CIF:
```
data_MgTc2Ag
_cell_length_a 3.656
_cell_length_b 3.656
_cell_length_c 9.118
_cell_angle_alpha 90.00
_cell_angle_beta 90.00
_cell_angle_gamma 90.00
_symmetry_space_group_name_H-M 'I 4/m m m'
_symmetry_Int_Tables_number 139
_symmetry_space_group_name_Hall '-I 4 2'
loop_
_atom_site_label
_atom_site_type_symbol
_atom_site_fract_x
_atom_site_fract_y
_atom_site_fract_z
Mg1 Mg 0.000 0.000 0.000
Tc1 Tc 0.000 0.500 0.250
Ag1 Ag 0.000 0.000 0.500
```

=====

8.
Below is Ca2YAg2 at its PBEsol-relaxed geometry, with properties calculated at the meta-GGA SCAN level.

Values from the calculation:
**Calculated volume**: 26.58 A^3/atom
**Formation energy**: -0.2808 eV per atom
**Density of states at the Fermi level**: 0.584 states/eV/atom
**Crystal system**: tetragonal

Geometry as CIF:
```
data_Ca2YAg2
_cell_length_a 7.752
_cell_length_b 7.752
_cell_length_c 4.423
_cell_angle_alpha 90.00
_cell_angle_beta 90.00
_cell_angle_gamma 90.00
_symmetry_space_group_name_H-M 'P 4/m b m'
_symmetry_Int_Tables_number 127
_symmetry_space_group_name_Hall '-P 4 2ab'
loop_
_atom_site_label
_atom_site_type_symbol
_atom_site_fract_x
_atom_site_fract_y
_atom_site_fract_z
Ca1 Ca 0.168 0.332 0.000
Y1 Y 0.000 0.000 0.500
Ag1 Ag 0.128 0.628 0.500
```

=====

9.
Below is BaCrP3 at its PBEsol-relaxed geometry, with properties calculated at the meta-GGA SCAN level.

Values from the calculation:
**Calculated volume**: 31.72 A^3/atom
**Formation energy**: 1.6788 eV per atom
**Density of states at the Fermi level**: 0.878 states/eV/atom
**Crystal system**: cubic

Geometry as CIF:
```
data_BaCrP3
_cell_length_a 5.413
_cell_length_b 5.413
_cell_length_c 5.413
_cell_angle_alpha 90.00
_cell_angle_beta 90.00
_cell_angle_gamma 90.00
_symmetry_space_group_name_H-M 'P m -3 m'
_symmetry_Int_Tables_number 221
_symmetry_space_group_name_Hall '-P 4 2 3'
loop_
_atom_site_label
_atom_site_type_symbol
_atom_site_fract_x
_atom_site_fract_y
_atom_site_fract_z
Ba1 Ba 0.000 0.000 0.000
Cr1 Cr 0.500 0.500 0.500
P1 P 0.000 0.000 0.500
```

=====

10.
Below is ZrAl3W at its PBEsol-relaxed geometry, with properties calculated at the meta-GGA SCAN level.

Values from the calculation:
**Calculated volume**: 22.85 A^3/atom
**Formation energy**: 1.8596 eV per atom
**Density of states at the Fermi level**: 0.234 states/eV/atom
**Crystal system**: cubic

Geometry as CIF:
```
data_ZrAl3W
_cell_length_a 4.852
_cell_length_b 4.852
_cell_length_c 4.852
_cell_angle_alpha 90.00
_cell_angle_beta 90.00
_cell_angle_gamma 90.00
_symmetry_space_group_name_H-M 'P m -3 m'
_symmetry_Int_Tables_number 221
_symmetry_space_group_name_Hall '-P 4 2 3'
loop_
_atom_site_label
_atom_site_type_symbol
_atom_site_fract_x
_atom_site_fract_y
_atom_site_fract_z
Zr1 Zr 0.000 0.000 0.000
Al1 Al 0.000 0.000 0.500
W1 W 0.500 0.500 0.500
```

=====

11.
Below is LaTi3Si at its PBEsol-relaxed geometry, with properties calculated at the meta-GGA SCAN level.

Values from the calculation:
**E_form (uncorrected)**: 0.195 eV per atom
**Calculated volume**: 21.42 A^3/atom
**Density of states at the Fermi level**: 1.045 states/eV/atom
**Crystal system**: cubic

Geometry as CIF:
```
data_LaTi3Si
_cell_length_a 4.749
_cell_length_b 4.749
_cell_length_c 4.749
_cell_angle_alpha 90.00
_cell_angle_beta 90.00
_cell_angle_gamma 90.00
_symmetry_space_group_name_H-M 'P m -3 m'
_symmetry_Int_Tables_number 221
_symmetry_space_group_name_Hall '-P 4 2 3'
loop_
_atom_site_label
_atom_site_type_symbol
_atom_site_fract_x
_atom_site_fract_y
_atom_site_fract_z
La1 La 0.000 0.000 0.000
Ti1 Ti 0.000 0.500 0.500
Si1 Si 0.500 0.500 0.500
```

=====

12.
Below is CrGe3Mo at its PBEsol-relaxed geometry, with properties calculated at the meta-GGA SCAN level.

Values from the calculation:
**Calculated volume**: 22.34 A^3/atom
**Formation energy**: 0.6204 eV per atom
**Density of states at the Fermi level**: 0.535 states/eV/atom
**Crystal system**: cubic

Geometry as CIF:
```
data_CrGe3Mo
_cell_length_a 4.816
_cell_length_b 4.816
_cell_length_c 4.816
_cell_angle_alpha 90.00
_cell_angle_beta 90.00
_cell_angle_gamma 90.00
_symmetry_space_group_name_H-M 'P m -3 m'
_symmetry_Int_Tables_number 221
_symmetry_space_group_name_Hall '-P 4 2 3'
loop_
_atom_site_label
_atom_site_type_symbol
_atom_site_fract_x
_atom_site_fract_y
_atom_site_fract_z
Cr1 Cr 0.000 0.000 0.000
Ge1 Ge 0.000 0.500 0.500
Mo1 Mo 0.500 0.500 0.500
```

=====

- What is the formula in the second record?
  Cd3Hg2

=====

- Look up the density of states at the Fermi level of the third one.
  0.616 states/eV/atom

=====

- density of states at the Fermi level of number 7 (MgTc2Ag)?
  0.790 states/eV/atom

=====

- Number 2 is which compound?
  Cd3Hg2